1.
First-principles (meta-GGA SCAN) data for a PBEsol-optimized structure of MgCdHg2, as listed in the Alexandria database.

Cell: 6.2749 7.8515 3.4419 Å, 90.00 90.00 90.00°
Space group Cmmm (No. 65)
Unique sites:
Mg1 0.0000 0.0000 0.0000 x2
Cd1 0.0000 0.5000 0.0000 x2
Hg1 0.2500 0.2500 0.5000 x4

Computed properties:
* total magnetization: 0.000 Bohr magnetons per cell
* DFT total energy: -344.65 eV for the cell shown
* theoretical density: 10534 kg/m3
* energy of formation from the pure elements: -0.151 eV per atom

=====

2.
First-principles (meta-GGA SCAN) data for a PBEsol-optimized structure of RuPt, as listed in the Alexandria database.

Cell: 2.6971 2.6971 3.8732 Å, 90.00 90.00 90.00°
Space group P4/mmm (No. 123)
Unique sites:
Ru1 0.0000 0.0000 0.0000 x1
Pt1 0.5000 0.5000 0.5000 x1

Computed properties:
* total magnetization: 0.007 Bohr magnetons per cell
* DFT total energy: -104.91 eV for the cell shown
* theoretical density: 17454 kg/m3
* energy of formation from the pure elements: 0.054 eV per atom

=====

3.
First-principles (meta-GGA SCAN) data for a PBEsol-optimized structure of YTc2GeTe, as listed in the Alexandria database.

Cell: 4.7912 4.7912 5.1905 Å, 90.00 90.00 90.00°
Space group P4/mmm (No. 123)
Unique sites:
Y1 0.0000 0.0000 0.0000 x1
Tc1 0.0000 0.5000 0.5000 x2
Ge1 0.5000 0.5000 0.0000 x1
Te1 0.5000 0.5000 0.5000 x1

Computed properties:
* total magnetization: 1.597 Bohr magnetons per cell
* DFT total energy: -149.20 eV for the cell shown
* energy relative to the elements, uncorrected: 1.0207 eV per atom
* theoretical density: 6761 kg/m3

=====

4.
First-principles (meta-GGA SCAN) data for a PBEsol-optimized structure of KCr2Mo, as listed in the Alexandria database.

Cell: 3.0216 4.3897 5.0897 Å, 90.00 90.00 90.00°
Space group Pmmm (No. 47)
Unique sites:
K1 0.0000 0.0000 0.0000 x1
Cr1 0.0000 0.5000 0.5000 x1
Cr2 0.5000 0.5000 0.0000 x1
Mo1 0.5000 0.0000 0.5000 x1

Computed properties:
* total magnetization: 2.445 Bohr magnetons per cell
* energy above the most stable polymorph in this dataset: 588.0 meV/atom
* DFT total energy: -74.04 eV for the cell shown
* theoretical density: 5880 kg/m3
* energy of formation from the pure elements: 1.487 eV per atom

=====

5.
First-principles (meta-GGA SCAN) data for a PBEsol-optimized structure of RbNa3Cd, as listed in the Alexandria database.

Cell: 6.0081 6.0081 6.0081 Å, 90.00 90.00 90.00°
Space group Pm-3m (No. 221)
Unique sites:
Rb1 0.0000 0.0000 0.0000 x1
Na1 0.0000 0.5000 0.5000 x3
Cd1 0.5000 0.5000 0.5000 x1

Computed properties:
* total magnetization: 0.000 Bohr magnetons per cell
* DFT total energy: -63.79 eV for the cell shown
* theoretical density: 2043 kg/m3
* energy of formation from the pure elements: 0.002 eV per atom

=====

6.
First-principles (meta-GGA SCAN) data for a PBEsol-optimized structure of V4Ni2O9, as listed in the Alexandria database.

Cell: 9.6487 4.8581 12.1291 Å, 90.00 95.32 90.00°
Space group Cc (No. 9)
Unique sites:
V1 0.0000 0.0006 0.0000 x4
V2 0.0768 0.0063 0.2323 x4
V3 0.2407 0.4935 0.5712 x4
V4 0.4061 0.0011 0.8958 x4
Ni1 0.1720 0.4955 0.3343 x4
Ni2 0.3406 0.0017 0.6676 x4
O1 0.0292 0.1771 0.8660 x4
O2 0.0865 0.3385 0.4793 x4
O3 0.1413 0.1740 0.0931 x4
O4 0.1950 0.3156 0.6947 x4
O5 0.2551 0.1346 0.3100 x4
O6 0.3201 0.3348 0.9340 x4
O7 0.3682 0.1879 0.5265 x4
O8 0.4228 0.3597 0.1400 x4
O9 0.4851 0.1769 0.7687 x4

Computed properties:
* total magnetization: 8.000 Bohr magnetons per cell
* DFT total energy: -771.17 eV for the cell shown
* energy relative to the elements, uncorrected: -2.2941 eV per atom
* theoretical density: 5458 kg/m3

=====

7.
First-principles (meta-GGA SCAN) data for a PBEsol-optimized structure of CoRh2, as listed in the Alexandria database.

Cell: 4.5004 2.6281 6.3668 Å, 90.00 90.93 90.00°
Space group P2/m (No. 10)
Unique sites:
Co1 0.1639 0.0000 0.3360 x2
Rh1 0.0000 0.5000 0.0000 x1
Rh2 0.3273 0.5000 0.6592 x2
Rh3 0.5000 0.0000 0.0000 x1

Computed properties:
* total magnetization: 6.097 Bohr magnetons per cell
* DFT total energy: -169.36 eV for the cell shown
* theoretical density: 11678 kg/m3
* energy of formation from the pure elements: 0.055 eV per atom

=====

8.
First-principles (meta-GGA SCAN) data for a PBEsol-optimized structure of Al3BiW, as listed in the Alexandria database.

Cell: 4.8794 4.8794 4.8794 Å, 90.00 90.00 90.00°
Space group Pm-3m (No. 221)
Unique sites:
Al1 0.0000 0.0000 0.5000 x3
Bi1 0.5000 0.5000 0.5000 x1
W1 0.0000 0.0000 0.0000 x1

Computed properties:
* total magnetization: 0.000 Bohr magnetons per cell
* DFT total energy: -167.65 eV for the cell shown
* theoretical density: 6772 kg/m3
* energy of formation from the pure elements: 0.775 eV per atom

=====

9.
First-principles (meta-GGA SCAN) data for a PBEsol-optimized structure of LiMgPb, as listed in the Alexandria database.

Cell: 6.7301 6.7301 6.7301 Å, 90.00 90.00 90.00°
Space group F-43m (No. 216)
Unique sites:
Li1 0.0000 0.0000 0.0000 x4
Mg1 0.2500 0.2500 0.7500 x4
Pb1 0.0000 0.0000 0.5000 x4

Computed properties:
* total magnetization: 0.000 Bohr magnetons per cell
* energy above the most stable polymorph in this dataset: 174.6 meV/atom
* DFT total energy: -334.22 eV for the cell shown
* theoretical density: 5196 kg/m3
* energy of formation from the pure elements: -0.137 eV per atom

=====

10.
First-principles (meta-GGA SCAN) data for a PBEsol-optimized structure of HfTl2Ge, as listed in the Alexandria database.

Cell: 7.1738 7.1738 7.1738 Å, 90.00 90.00 90.00°
Space group Fm-3m (No. 225)
Unique sites:
Hf1 0.0000 0.0000 0.0000 x4
Tl1 0.2500 0.2500 0.2500 x8
Ge1 0.0000 0.0000 0.5000 x4

Computed properties:
* total magnetization: 0.000 Bohr magnetons per cell
* DFT total energy: -897.78 eV for the cell shown
* theoretical density: 11872 kg/m3
* energy of formation from the pure elements: 0.508 eV per atom

=====

11.
First-principles (meta-GGA SCAN) data for a PBEsol-optimized structure of LiHfI2, as listed in the Alexandria database.

Cell: 7.1044 7.1044 7.1044 Å, 90.00 90.00 90.00°
Space group Fm-3m (No. 225)
Unique sites:
Li1 0.0000 0.0000 0.0000 x4
Hf1 0.0000 0.0000 0.5000 x4
I1 0.2500 0.2500 0.2500 x8

Computed properties:
* total magnetization: 4.101 Bohr magnetons per cell
* DFT total energy: -555.07 eV for the cell shown
* energy relative to the elements, uncorrected: -0.0552 eV per atom
* theoretical density: 8136 kg/m3

=====

12.
First-principles (meta-GGA SCAN) data for a PBEsol-optimized structure of Zr2Sc, as listed in the Alexandria database.

Cell: 9.6422 5.5255 5.0722 Å, 90.00 90.00 90.00°
Space group Cmcm (No. 63)
Unique sites:
Zr1 0.1692 0.1629 0.2500 x8
Sc1 0.0000 0.3300 0.7500 x4

Computed properties:
* total magnetization: 0.000 Bohr magnetons per cell
* DFT total energy: -302.65 eV for the cell shown
* theoretical density: 5589 kg/m3
* energy of formation from the pure elements: -0.009 eV per atom

=====

13.
First-principles (meta-GGA SCAN) data for a PBEsol-optimized structure of ZrScMn2Ni, as listed in the Alexandria database.

Cell: 4.4942 4.4942 4.9795 Å, 90.00 90.00 90.00°
Space group P4/mmm (No. 123)
Unique sites:
Zr1 0.0000 0.0000 0.0000 x1
Sc1 0.0000 0.0000 0.5000 x1
Mn1 0.0000 0.5000 0.0000 x2
Ni1 0.5000 0.5000 0.5000 x1

Computed properties:
* total magnetization: 6.818 Bohr magnetons per cell
* DFT total energy: -90.59 eV for the cell shown
* theoretical density: 5032 kg/m3
* energy of formation from the pure elements: 1.407 eV per atom

=====

14.
First-principles (meta-GGA SCAN) data for a PBEsol-optimized structure of CsBaAl2Te, as listed in the Alexandria database.

Cell: 5.6944 5.6944 6.5933 Å, 90.00 90.00 90.00°
Space group P4/mmm (No. 123)
Unique sites:
Cs1 0.0000 0.0000 0.0000 x1
Ba1 0.5000 0.5000 0.5000 x1
Al1 0.0000 0.5000 0.0000 x2
Te1 0.0000 0.0000 0.5000 x1

Computed properties:
* total magnetization: 0.001 Bohr magnetons per cell
* DFT total energy: -126.81 eV for the cell shown
* energy relative to the elements, uncorrected: 0.6604 eV per atom
* theoretical density: 3509 kg/m3

=====

15.
First-principles (meta-GGA SCAN) data for a PBEsol-optimized structure of CrAsNF2, as listed in the Alexandria database.

Cell: 4.1701 4.1701 3.8181 Å, 90.00 90.00 90.00°
Space group P4/mmm (No. 123)
Unique sites:
Cr1 0.0000 0.0000 0.0000 x1
As1 0.5000 0.5000 0.5000 x1
N1 0.5000 0.5000 0.0000 x1
F1 0.0000 0.5000 0.5000 x2

Computed properties:
* total magnetization: 4.653 Bohr magnetons per cell
* energy above the most stable polymorph in this dataset: 473.4 meV/atom
* DFT total energy: -56.95 eV for the cell shown
* energy relative to the elements, uncorrected: -0.4009 eV per atom
* theoretical density: 4475 kg/m3

=====

16.
First-principles (meta-GGA SCAN) data for a PBEsol-optimized structure of CuBSbMo2, as listed in the Alexandria database.

Cell: 4.6835 4.6835 3.5543 Å, 90.00 90.00 90.00°
Space group P4/mmm (No. 123)
Unique sites:
Cu1 0.0000 0.0000 0.0000 x1
B1 0.0000 0.0000 0.5000 x1
Sb1 0.5000 0.5000 0.5000 x1
Mo1 0.0000 0.5000 0.0000 x2

Computed properties:
* total magnetization: 0.002 Bohr magnetons per cell
* DFT total energy: -123.97 eV for the cell shown
* energy relative to the elements, uncorrected: 1.1386 eV per atom
* theoretical density: 8264 kg/m3

=====

17.
First-principles (meta-GGA SCAN) data for a PBEsol-optimized structure of CdPtBr, as listed in the Alexandria database.

Cell: 4.5793 4.5793 3.1666 Å, 90.00 90.00 120.00°
Space group P3m1 (No. 156)
Unique sites:
Cd1 0.0000 0.0000 0.0000 x1
Pt1 0.6667 0.3333 0.5795 x1
Br1 0.3333 0.6667 0.4788 x1

Computed properties:
* total magnetization: 0.000 Bohr magnetons per cell
* energy above the most stable polymorph in this dataset: 0.0 meV/atom
* DFT total energy: -119.32 eV for the cell shown
* energy relative to the elements, uncorrected: 0.2484 eV per atom
* theoretical density: 11187 kg/m3

=====

18.
First-principles (meta-GGA SCAN) data for a PBEsol-optimized structure of MgZrAu2, as listed in the Alexandria database.

Cell: 3.5372 3.5372 6.0239 Å, 90.00 90.00 90.00°
Space group P4mm (No. 99)
Unique sites:
Mg1 0.0000 0.0000 0.0000 x1
Zr1 0.5000 0.5000 0.3204 x1
Au1 0.0000 0.0000 0.5342 x1
Au2 0.5000 0.5000 0.8178 x1

Computed properties:
* total magnetization: 0.436 Bohr magnetons per cell
* DFT total energy: -176.25 eV for the cell shown
* theoretical density: 11225 kg/m3
* energy of formation from the pure elements: -0.566 eV per atom

=====

19.
First-principles (meta-GGA SCAN) data for a PBEsol-optimized structure of Zr5Sn3, as listed in the Alexandria database.

Cell: 8.4282 8.4282 5.7255 Å, 90.00 90.00 120.00°
Space group P6_3/mcm (No. 193)
Unique sites:
Zr1 0.0000 0.2472 0.2500 x6
Zr2 0.3333 0.6667 0.0000 x4
Sn1 0.0000 0.3921 0.7500 x6

Computed properties:
* total magnetization: 0.000 Bohr magnetons per cell
* DFT total energy: -533.43 eV for the cell shown
* theoretical density: 7659 kg/m3
* energy of formation from the pure elements: -0.682 eV per atom

=====

20.
First-principles (meta-GGA SCAN) data for a PBEsol-optimized structure of Si2HgSb2, as listed in the Alexandria database.

Cell: 4.0758 4.0758 14.2743 Å, 90.00 90.00 90.00°
Space group I4/mmm (No. 139)
Unique sites:
Si1 0.0000 0.5000 0.2500 x4
Hg1 0.0000 0.0000 0.0000 x2
Sb1 0.0000 0.0000 0.3806 x4

Computed properties:
* total magnetization: 0.000 Bohr magnetons per cell
* energy above the most stable polymorph in this dataset: 114.3 meV/atom
* DFT total energy: -320.93 eV for the cell shown
* energy relative to the elements, uncorrected: 0.4509 eV per atom
* theoretical density: 7007 kg/m3